Below is a geometry-optimized Sr2La2MnCuO8 structure, with properties calculated at the PBE+U level.

Properties
- offset from the most stable computed form (kJ per mole of atoms) = 3.0
- crystal system = tetragonal

abc: 3.8828 3.8828 12.7068
angles: 90.00 90.00 90.00
Space group P4/mmm (No. 123)
Symmetry-distinct sites (fractional):
Sr  0.0000  0.0000  0.1413 [2 per cell]
La  0.5000  0.5000  0.3590 [2 per cell]
Mn  0.5000  0.5000  0.0000 [1 per cell]
Cu  0.0000  0.0000  0.5000 [1 per cell]
O  0.0000  0.0000  0.3389 [2 per cell]
O  0.0000  0.5000  0.0000 [2 per cell]
O  0.0000  0.5000  0.5000 [2 per cell]
O  0.5000  0.5000  0.1816 [2 per cell]